[1]
{
  "formula": "CeSmSbSe",
  "functional": "PBE",
  "state": "relaxed",
  "formation_energy_uncorrected_ev_per_atom": -1.46,
  "volume_a3_per_cell": 117,
  "dos_ef_per_ev_atom": 1.87,
  "density_kg_m3": 6963,
  "cell": [[4.342, 0.000, 0.000], [0.000, 4.357, 0.000], [0.000, 0.000, 6.191]],
  "species": ["Ce", "Sm", "Sb", "Se"],
  "fractional_positions": [[0.000, 0.000, 0.000], [0.500, 0.500, 0.500], [0.000, 0.000, 0.500], [0.500, 0.500, 0.000]]
}



[2]
{
  "formula": "FeHgPd2",
  "functional": "PBE",
  "state": "relaxed",
  "volume_a3_per_cell": 141,
  "dos_ef_per_ev_atom": 0.66,
  "e_form_mev_per_atom": 256,
  "density_kg_m3": 11029,
  "cell": [[-3.591, 3.591, 2.740], [3.591, -3.591, 2.740], [3.591, 3.591, -2.740]],
  "species": ["Fe", "Fe", "Hg", "Hg", "Pd", "Pd", "Pd", "Pd"],
  "fractional_positions": [[0.000, 0.000, 0.000], [0.750, 0.250, 0.500], [0.250, 0.750, 0.500], [0.500, 0.500, 0.000], [0.090, 0.625, 0.965], [0.375, 0.340, 0.465], [0.660, 0.125, 0.035], [0.875, 0.910, 0.535]]
}



[3]
{
  "formula": "ZnFeOs2",
  "functional": "PBE",
  "state": "relaxed",
  "volume_a3_per_cell": 54,
  "dos_ef_per_ev_atom": 1.18,
  "e_form_mev_per_atom": 381,
  "density_kg_m3": 15298,
  "cell": [[3.881, 0.000, 0.000], [0.000, 3.881, 0.000], [0.000, 0.000, 3.615]],
  "species": ["Zn", "Fe", "Os", "Os"],
  "fractional_positions": [[0.000, 0.000, 0.000], [0.500, 0.500, 0.000], [0.000, 0.500, 0.500], [0.500, 0.000, 0.500]]
}



[4]
{
  "formula": "TbSm5Sb4",
  "functional": "PBE",
  "state": "relaxed",
  "formation_energy_uncorrected_ev_per_atom": -0.78,
  "volume_a3_per_cell": 344,
  "dos_ef_per_ev_atom": 0.63,
  "density_kg_m3": 6753,
  "cell": [[9.493, -2.186, 0.000], [9.493, 2.186, 0.000], [-2.266, 0.000, 8.282]],
  "species": ["Tb", "Sm", "Sm", "Sm", "Sm", "Sm", "Sb", "Sb", "Sb", "Sb"],
  "fractional_positions": [[0.000, 0.000, 0.000], [0.000, 0.000, 0.500], [0.325, 0.325, 0.651], [0.336, 0.336, 0.173], [0.664, 0.664, 0.827], [0.675, 0.675, 0.349], [0.168, 0.168, 0.088], [0.494, 0.494, 0.747], [0.506, 0.506, 0.253], [0.832, 0.832, 0.912]]
}



[5]
{
  "formula": "MgPd6Pt5",
  "functional": "PBE",
  "state": "relaxed",
  "volume_a3_per_cell": 186,
  "dos_ef_per_ev_atom": 1.58,
  "e_form_mev_per_atom": -201,
  "density_kg_m3": 14646,
  "cell": [[1.988, -5.942, 0.000], [1.988, 5.942, 0.000], [0.000, 0.000, 7.860]],
  "species": ["Mg", "Pd", "Pd", "Pd", "Pd", "Pd", "Pd", "Pt", "Pt", "Pt", "Pt", "Pt"],
  "fractional_positions": [[0.000, 0.000, 0.000], [0.167, 0.833, 0.248], [0.167, 0.833, 0.752], [0.500, 0.500, 0.245], [0.500, 0.500, 0.755], [0.833, 0.167, 0.248], [0.833, 0.167, 0.752], [0.000, 0.000, 0.500], [0.335, 0.665, 0.000], [0.336, 0.664, 0.500], [0.664, 0.336, 0.500], [0.665, 0.335, 0.000]]
}



[6]
{
  "formula": "LaSc2Sb",
  "functional": "PBE",
  "state": "relaxed",
  "formation_energy_uncorrected_ev_per_atom": -0.46,
  "volume_a3_per_cell": 109,
  "dos_ef_per_ev_atom": 1.07,
  "density_kg_m3": 5322,
  "cell": [[3.918, 0.000, 0.000], [0.000, 3.918, 0.000], [0.000, 0.000, 7.126]],
  "species": ["La", "Sc", "Sc", "Sb"],
  "fractional_positions": [[0.000, 0.000, 0.000], [0.000, 0.000, 0.469], [0.500, 0.500, 0.706], [0.500, 0.500, 0.285]]
}



[7]
{
  "formula": "Ag3Mo",
  "functional": "PBE",
  "state": "relaxed",
  "de_polymorph_mev_per_atom": 0.0,
  "volume_a3_per_cell": 142,
  "dos_ef_per_ev_atom": 0.48,
  "e_form_mev_per_atom": 298,
  "density_kg_m3": 9824,
  "cell": [[4.701, -4.551, 0.000], [4.701, 4.551, 0.000], [0.000, 0.000, 3.315]],
  "species": ["Ag", "Ag", "Ag", "Ag", "Ag", "Ag", "Mo", "Mo"],
  "fractional_positions": [[0.120, 0.374, 0.750], [0.133, 0.867, 0.750], [0.374, 0.120, 0.250], [0.626, 0.880, 0.750], [0.867, 0.133, 0.250], [0.880, 0.626, 0.250], [0.405, 0.595, 0.250], [0.595, 0.405, 0.750]]
}



[8]
{
  "formula": "ErPa2BeN5",
  "functional": "PBE",
  "state": "relaxed",
  "formation_energy_uncorrected_ev_per_atom": -1.32,
  "volume_a3_per_cell": 230,
  "density_kg_m3": 10213,
  "cell": [[1.652, -7.542, 0.000], [1.652, 7.542, 0.000], [0.000, 0.000, 9.247]],
  "species": ["Er", "Er", "Pa", "Pa", "Pa", "Pa", "Be", "Be", "N", "N", "N", "N", "N", "N", "N", "N", "N", "N"],
  "fractional_positions": [[0.203, 0.797, 0.500], [0.797, 0.203, 0.000], [0.099, 0.901, 0.182], [0.110, 0.890, 0.805], [0.890, 0.110, 0.305], [0.901, 0.099, 0.682], [0.457, 0.543, 0.960], [0.543, 0.457, 0.460], [0.031, 0.969, 0.541], [0.313, 0.687, 0.190], [0.344, 0.656, 0.847], [0.356, 0.644, 0.519], [0.491, 0.509, 0.290], [0.509, 0.491, 0.790], [0.644, 0.356, 0.019], [0.656, 0.344, 0.347], [0.687, 0.313, 0.690], [0.969, 0.031, 0.041]]
}



[9]
{
  "formula": "YAgHgAu2",
  "functional": "PBE",
  "state": "relaxed",
  "volume_a3_per_cell": 140,
  "dos_ef_per_ev_atom": 0.52,
  "e_form_mev_per_atom": 279,
  "density_kg_m3": 9380,
  "cell": [[5.142, 0.000, 0.000], [0.000, 5.142, 0.000], [0.000, 0.000, 5.298]],
  "species": ["Y", "Ag", "Hg", "Au", "Au"],
  "fractional_positions": [[0.000, 0.000, 0.000], [0.000, 0.000, 0.500], [0.500, 0.500, 0.000], [0.000, 0.500, 0.500], [0.500, 0.000, 0.500]]
}



[10]
{
  "formula": "Li5Ce3H12",
  "functional": "PBE",
  "state": "relaxed",
  "volume_a3_per_cell": 915,
  "dos_ef_per_ev_atom": 0.95,
  "density_kg_m3": 3391,
  "e_tot_ev_per_atom": -3.75,
  "cell": [[-6.116, 6.116, 6.116], [6.116, -6.116, 6.116], [6.116, 6.116, -6.116]],
  "species": ["Li", "Li", "Li", "Li", "Li", "Li", "Li", "Li", "Li", "Li", "Li", "Li", "Li", "Li", "Li", "Li", "Li", "Li", "Li", "Li", "Ce", "Ce", "Ce", "Ce", "Ce", "Ce", "Ce", "Ce", "Ce", "Ce", "Ce", "Ce", "H", "H", "H", "H", "H", "H", "H", "H", "H", "H", "H", "H", "H", "H", "H", "H", "H", "H", "H", "H", "H", "H", "H", "H", "H", "H", "H", "H", "H", "H", "H", "H", "H", "H", "H", "H", "H", "H", "H", "H", "H", "H", "H", "H", "H", "H", "H", "H"],
  "fractional_positions": [[0.000, 0.000, 0.000], [0.000, 0.000, 0.500], [0.000, 0.500, 0.000], [0.000, 0.500, 0.500], [0.125, 0.750, 0.875], [0.125, 0.875, 0.250], [0.250, 0.125, 0.875], [0.250, 0.625, 0.375], [0.375, 0.250, 0.625], [0.375, 0.625, 0.750], [0.500, 0.000, 0.000], [0.500, 0.000, 0.500], [0.500, 0.500, 0.000], [0.500, 0.500, 0.500], [0.625, 0.375, 0.250], [0.625, 0.750, 0.375], [0.750, 0.375, 0.625], [0.750, 0.875, 0.125], [0.875, 0.125, 0.750], [0.875, 0.250, 0.125], [0.125, 0.250, 0.375], [0.125, 0.375, 0.750], [0.250, 0.375, 0.125], [0.250, 0.875, 0.625], [0.375, 0.125, 0.250], [0.375, 0.750, 0.125], [0.625, 0.250, 0.875], [0.625, 0.875, 0.750], [0.750, 0.125, 0.375], [0.750, 0.625, 0.875], [0.875, 0.625, 0.250], [0.875, 0.750, 0.625], [0.033, 0.213, 0.126], [0.033, 0.320, 0.907], [0.087, 0.713, 0.680], [0.087, 0.874, 0.407], [0.093, 0.626, 0.413], [0.093, 0.967, 0.680], [0.126, 0.033, 0.213], [0.126, 0.593, 0.913], [0.180, 0.213, 0.587], [0.180, 0.467, 0.593], [0.213, 0.126, 0.033], [0.213, 0.587, 0.180], [0.287, 0.320, 0.913], [0.287, 0.467, 0.374], [0.320, 0.907, 0.033], [0.320, 0.913, 0.287], [0.374, 0.287, 0.467], [0.374, 0.587, 0.907], [0.407, 0.087, 0.874], [0.407, 0.820, 0.533], [0.413, 0.093, 0.626], [0.413, 0.820, 0.787], [0.467, 0.374, 0.287], [0.467, 0.593, 0.180], [0.533, 0.407, 0.820], [0.533, 0.626, 0.713], [0.587, 0.180, 0.213], [0.587, 0.907, 0.374], [0.593, 0.180, 0.467], [0.593, 0.913, 0.126], [0.626, 0.413, 0.093], [0.626, 0.713, 0.533], [0.680, 0.087, 0.713], [0.680, 0.093, 0.967], [0.713, 0.533, 0.626], [0.713, 0.680, 0.087], [0.787, 0.413, 0.820], [0.787, 0.874, 0.967], [0.820, 0.533, 0.407], [0.820, 0.787, 0.413], [0.874, 0.407, 0.087], [0.874, 0.967, 0.787], [0.907, 0.033, 0.320], [0.907, 0.374, 0.587], [0.913, 0.126, 0.593], [0.913, 0.287, 0.320], [0.967, 0.680, 0.093], [0.967, 0.787, 0.874]]
}



[11]
{
  "formula": "RbAlF4",
  "functional": "PBE",
  "state": "relaxed",
  "formation_energy_uncorrected_ev_per_atom": -3.36,
  "volume_a3_per_cell": 347,
  "dos_ef_per_ev_atom": 0.00,
  "density_kg_m3": 3607,
  "cell": [[7.365, 0.000, 0.000], [0.000, 7.374, 0.000], [0.000, 0.000, 6.390]],
  "species": ["Rb", "Rb", "Rb", "Rb", "Al", "Al", "Al", "Al", "F", "F", "F", "F", "F", "F", "F", "F", "F", "F", "F", "F", "F", "F", "F", "F"],
  "fractional_positions": [[0.250, 0.250, 0.014], [0.250, 0.750, 0.015], [0.750, 0.250, 0.985], [0.750, 0.750, 0.986], [0.000, 0.000, 0.500], [0.000, 0.500, 0.500], [0.500, 0.000, 0.500], [0.500, 0.500, 0.500], [0.015, 0.000, 0.778], [0.015, 0.500, 0.778], [0.034, 0.250, 0.497], [0.250, 0.534, 0.478], [0.250, 0.966, 0.478], [0.466, 0.250, 0.497], [0.485, 0.000, 0.778], [0.485, 0.500, 0.778], [0.515, 0.000, 0.222], [0.515, 0.500, 0.222], [0.534, 0.750, 0.503], [0.750, 0.034, 0.522], [0.750, 0.466, 0.522], [0.966, 0.750, 0.503], [0.985, 0.000, 0.222], [0.985, 0.500, 0.222]]
}



[12]
{
  "formula": "BeVCrRe2",
  "functional": "PBE",
  "state": "relaxed",
  "volume_a3_per_cell": 82,
  "dos_ef_per_ev_atom": 0.97,
  "e_form_mev_per_atom": 1515,
  "density_kg_m3": 9752,
  "cell": [[4.465, 0.000, 0.000], [0.000, 4.465, 0.000], [0.000, 0.000, 4.136]],
  "species": ["Be", "V", "Cr", "Re", "Re"],
  "fractional_positions": [[0.000, 0.000, 0.000], [0.500, 0.500, 0.000], [0.500, 0.500, 0.500], [0.000, 0.500, 0.500], [0.500, 0.000, 0.500]]
}



[13]
{
  "formula": "SrNd4In4",
  "functional": "PBE",
  "state": "relaxed",
  "volume_a3_per_cell": 566,
  "dos_ef_per_ev_atom": 0.92,
  "e_form_mev_per_atom": -249,
  "density_kg_m3": 6593,
  "cell": [[9.525, 0.000, 0.000], [0.000, 9.525, 0.000], [0.000, 0.000, 6.240]],
  "species": ["Sr", "Sr", "Nd", "Nd", "Nd", "Nd", "Nd", "Nd", "Nd", "Nd", "In", "In", "In", "In", "In", "In", "In", "In"],
  "fractional_positions": [[0.250, 0.250, 0.250], [0.750, 0.750, 0.750], [0.092, 0.828, 0.625], [0.172, 0.592, 0.125], [0.328, 0.908, 0.125], [0.408, 0.672, 0.625], [0.592, 0.328, 0.375], [0.672, 0.092, 0.875], [0.828, 0.408, 0.875], [0.908, 0.172, 0.375], [0.040, 0.140, 0.856], [0.140, 0.460, 0.644], [0.360, 0.040, 0.644], [0.460, 0.360, 0.856], [0.540, 0.640, 0.144], [0.640, 0.960, 0.356], [0.860, 0.540, 0.356], [0.960, 0.860, 0.144]]
}